1.
# CeNdPdRh PBE-GGA relaxed
data_CeNdPdRh
_chemical_formula_sum 'Ce1 Nd1 Pd1 Rh1'
_symmetry_space_group_name_H-M 'P 1'
_symmetry_Int_Tables_number 1
_cell_length_a 5.030
_cell_length_b 5.030
_cell_length_c 5.030
_cell_angle_alpha 60.00
_cell_angle_beta 60.00
_cell_angle_gamma 60.00
loop_
_symmetry_equiv_pos_as_xyz
'x,y,z'
loop_
_atom_site_label
_atom_site_type_symbol
_atom_site_fract_x
_atom_site_fract_y
_atom_site_fract_z
Rh1 Rh 0.500 0.500 0.500
Nd1 Nd 0.750 0.750 0.750
Pd1 Pd 0.000 0.000 0.000
Ce1 Ce 0.250 0.250 0.250
# **Density of states at the Fermi level**: 2.0122 states/eV per atom



2.
# CeNdPdRh PBE-GGA relaxed
data_CeNdPdRh
_chemical_formula_sum 'Ce1 Nd1 Pd1 Rh1'
_symmetry_space_group_name_H-M 'P 1'
_symmetry_Int_Tables_number 1
_cell_length_a 3.887
_cell_length_b 4.168
_cell_length_c 6.095
_cell_angle_alpha 90.00
_cell_angle_beta 108.59
_cell_angle_gamma 90.00
loop_
_symmetry_equiv_pos_as_xyz
'x,y,z'
loop_
_atom_site_label
_atom_site_type_symbol
_atom_site_fract_x
_atom_site_fract_y
_atom_site_fract_z
Ce1 Ce 0.870 0.500 0.740
Nd1 Nd 0.145 0.000 0.290
Pd1 Pd 0.583 0.500 0.166
Rh1 Rh 0.402 0.000 0.803
# **Density of states at the Fermi level**: 1.3457 states/eV per atom



Relative stability in kJ/mol of atoms, measured from the most stable structure: 1 9.7; 2 0.0